Entry from Alexandria: a PBEsol-optimized structure of TlMoO2 (SCAN).

**Symmetry**: R-3m, No. 166
**Energy**: -30.68 eV per atom
**Formation energy (no corrections)**: -3.01 eV per formula unit
**Energy above the lowest structure with this stoichiometry**: 0.0 meV/atom

Cell and atoms, written as POSCAR:
```
TlMoO2
1.0
3.145 0.000 0.000
-1.572 2.723 0.000
0.000 0.000 22.585
Tl Mo O
3 3 6
Direct
0.000 0.000 0.000 Tl
0.333 0.667 0.667 Tl
0.667 0.333 0.333 Tl
0.000 0.000 0.500 Mo
0.333 0.667 0.167 Mo
0.667 0.333 0.833 Mo
0.000 0.000 0.421 O
0.000 0.000 0.579 O
0.333 0.667 0.087 O
0.333 0.667 0.246 O
0.667 0.333 0.754 O
0.667 0.333 0.913 O
```